Zr2MoBr | PBE-GGA | optimized geometry

CIF file:
```
data_Zr2MoBr
_chemical_formula_sum 'Zr2 Mo1 Br1'
_cell_length_a 3.314
_cell_length_b 3.413
_cell_length_c 8.013
_cell_angle_alpha 90.05
_cell_angle_beta 90.00
_cell_angle_gamma 90.00
_symmetry_space_group_name_H-M 'P 1'
_symmetry_Int_Tables_number 1
_symmetry_space_group_name_Hall 'P 1'
loop_
_atom_site_label
_atom_site_type_symbol
_atom_site_fract_x
_atom_site_fract_y
_atom_site_fract_z
Mo1 Mo 0.500 0.750 0.750
Br1 Br 0.500 0.250 0.250
Zr1 Zr 0.000 0.250 0.948
Zr2 Zr 0.000 0.250 0.552
```

Summary:
Raw total energy, eV per atom: -7.7384